# 1
DFT (PBE) results for BHOs after structural relaxation.

Results
raw total energy	-82.231	eV for the cell shown
DOS(E_F)	0.0959	states/eV per atom
space group	Pnma (62)

abc: 4.206 4.002 5.965
angles: 90.00 90.00 90.00
Fractional positions:
Os 0.750 0.129 0.221
Os 0.250 0.629 0.279
Os 0.750 0.371 0.721
Os 0.250 0.871 0.779
B 0.250 0.374 0.625
B 0.750 0.626 0.375
B 0.750 0.874 0.875
B 0.250 0.126 0.125
H 0.750 0.037 0.499
H 0.250 0.537 0.001
H 0.750 0.463 0.999
H 0.250 0.963 0.501

***

# 2
DFT (PBE) results for Li2P3 after structural relaxation.

Results
DOS(E_F)	0.5207	states/eV per atom
ΔE_f	-15.4	kJ per mole of atoms
ΔE to the lowest computed polymorph	75	meV/atom
space group	P-3m1 (164)

abc: 3.201 3.201 9.204
angles: 90.00 90.00 120.00
Fractional positions:
Li 0.333 0.667 0.808
Li 0.667 0.333 0.192
P 0.333 0.667 0.431
P 0.000 0.000 0.000
P 0.667 0.333 0.569

***

# 3
DFT (PBE) results for Y2Er3Te6 after structural relaxation.

Results
DOS(E_F)	0.4564	states/eV per atom
E_form (uncorrected)	-1375.2	meV/atom
space group	C2/m (12)

abc: 7.497 7.464 7.466
angles: 80.29 70.38 59.85
Fractional positions:
Er 0.000 0.000 0.000
Er 0.671 0.658 0.000
Er 0.329 0.342 0.000
Te 0.739 0.000 0.749
Te 0.261 0.000 0.251
Te 0.581 0.322 0.255
Te 0.097 0.322 0.745
Te 0.419 0.678 0.745
Te 0.903 0.678 0.255
Y 0.164 0.673 0.500
Y 0.836 0.327 0.500

***

# 4
DFT (PBE) results for PrNd2In2 after structural relaxation.

Results
DOS(E_F)	0.8584	states/eV per atom
ΔE_f	-37.5	kJ per mole of atoms
ΔE to the lowest computed polymorph	0	meV/atom
space group	P2_1/m (11)

abc: 4.534 5.074 13.340
angles: 90.00 99.74 90.00
Fractional positions:
Nd 0.238 0.750 0.478
Nd 0.951 0.250 0.901
Nd 0.049 0.750 0.099
Nd 0.762 0.250 0.522
Pr 0.857 0.750 0.713
Pr 0.143 0.250 0.287
In 0.546 0.250 0.092
In 0.352 0.250 0.701
In 0.454 0.750 0.908
In 0.648 0.750 0.299

***

# 5
DFT (PBE) results for MnCr7 after structural relaxation.

Results
DOS(E_F)	0.9423	states/eV per atom
ΔE_f	1.0	kJ per mole of atoms
ΔE to the lowest computed polymorph	0	meV/atom
space group	R-3m (166)

abc: 5.681 5.681 5.681
angles: 90.05 90.05 89.95
Fractional positions:
Cr 0.625 0.625 0.874
Cr 0.375 0.874 0.625
Cr 0.626 0.626 0.374
Cr 0.375 0.375 0.126
Cr 0.374 0.374 0.626
Cr 0.875 0.373 0.125
Cr 0.126 0.625 0.375
Cr 0.125 0.627 0.875
Cr 0.874 0.375 0.625
Cr 0.373 0.875 0.125
Cr 0.875 0.875 0.627
Cr 0.627 0.125 0.875
Cr 0.625 0.126 0.375
Cr 0.125 0.125 0.373
Mn 0.127 0.127 0.873
Mn 0.873 0.873 0.127

***

# 6
DFT (PBE) results for Pr2CdP3Pt12 after structural relaxation.

Results
DOS(E_F)	0.3558	states/eV per atom
ΔE_f	-37.0	kJ per mole of atoms
space group	R-3m (166)

abc: 7.690 7.690 7.690
angles: 65.50 65.50 65.50
Fractional positions:
P 0.000 0.500 0.000
P 0.000 0.000 0.500
P 0.500 0.000 0.000
Pt 0.388 0.866 0.866
Pt 0.101 0.660 0.660
Pt 0.866 0.388 0.866
Pt 0.660 0.101 0.660
Pt 0.866 0.866 0.388
Pt 0.660 0.660 0.101
Pt 0.612 0.134 0.134
Pt 0.899 0.340 0.340
Pt 0.340 0.899 0.340
Pt 0.134 0.612 0.134
Pt 0.340 0.340 0.899
Pt 0.134 0.134 0.612
Pr 0.394 0.394 0.394
Pr 0.606 0.606 0.606
Cd 0.000 0.000 0.000

***

# 7
DFT (PBE) results for Ac4ReBr5 after structural relaxation.

Results
DOS(E_F)	0.4952	states/eV per atom
E_form (uncorrected)	-1254.0	meV/atom
space group	C2/m (12)

abc: 4.483 9.432 10.220
angles: 106.49 102.67 90.00
Fractional positions:
Ac 0.000 0.778 0.000
Ac 0.648 0.097 0.295
Ac 0.352 0.903 0.705
Ac 0.000 0.222 0.000
Br 0.828 0.132 0.655
Br 0.500 0.500 0.000
Br 0.172 0.868 0.345
Br 0.831 0.656 0.662
Br 0.169 0.344 0.338
Re 0.500 0.000 0.000

***

# 8
DFT (PBE) results for La12Tb7Pr after structural relaxation.

Results
DOS(E_F)	1.3355	states/eV per atom
ΔE_f	19.5	kJ per mole of atoms
ΔE to the lowest computed polymorph	15	meV/atom
space group	R-3 (148)

abc: 6.394 11.549 11.549
angles: 116.67 100.63 100.63
Fractional positions:
La 0.925 0.356 0.356
La 0.093 0.592 0.185
La 0.431 0.001 0.356
La 0.092 0.185 0.593
La 0.499 0.407 0.592
La 0.907 0.408 0.815
La 0.569 0.644 0.001
La 0.501 0.593 0.408
La 0.075 0.644 0.644
La 0.569 0.999 0.644
La 0.908 0.815 0.407
La 0.431 0.356 0.999
Tb 0.884 0.001 0.251
Tb 0.500 0.000 0.000
Tb 0.883 0.250 0.999
Tb 0.117 0.750 0.001
Tb 0.116 0.999 0.749
Tb 0.367 0.251 0.250
Tb 0.633 0.749 0.750
Pr 0.000 0.000 0.000

***

# 9
DFT (PBE) results for AlFeCl2 after structural relaxation.

Results
DOS(E_F)	0.7978	states/eV per atom
E_form (uncorrected)	27.0	meV/atom
ΔE to the lowest computed polymorph	501	meV/atom
space group	P4/mmm (123)

abc: 7.813 5.921 3.013
angles: 59.36 112.76 139.31
Fractional positions:
Al 0.500 0.500 0.000
Fe 0.000 0.500 0.500
Cl 0.500 0.000 0.500
Cl 0.000 0.000 0.000

***

# 10
DFT (PBE) results for LaDy2TcO8 after structural relaxation.

Results
E_form (uncorrected)	-2632.6	meV/atom
space group	Cmmm (65)

abc: 5.078 5.075 6.931
angles: 90.00 90.00 89.66
Fractional positions:
O 0.184 0.815 0.199
O 0.317 0.316 0.500
O 0.266 0.265 0.000
O 0.816 0.185 0.801
O 0.816 0.185 0.199
O 0.734 0.735 0.000
O 0.683 0.684 0.500
O 0.184 0.815 0.801
La 0.000 0.000 0.500
Dy 0.500 0.500 0.250
Dy 0.500 0.500 0.750
Tc 0.000 0.000 0.000

***

# 11
DFT (PBE) results for Cs5KAu6 after structural relaxation.

Results
ΔE_f	-30.0	kJ per mole of atoms
space group	C2/m (12)

abc: 6.080 8.564 10.519
angles: 114.04 106.82 89.96
Fractional positions:
Au 0.161 0.400 0.321
Au 0.501 0.770 0.000
Au 0.839 0.600 0.679
Au 0.839 0.079 0.679
Au 0.161 0.921 0.321
Au 0.499 0.230 0.000
Cs 0.670 0.170 0.341
Cs 0.330 0.830 0.659
Cs 0.664 0.664 0.328
Cs 0.336 0.336 0.672
Cs 0.000 0.500 0.000
K 0.000 0.000 0.000

***

# 12
DFT (PBE) results for Th3Tl4Te8Au after structural relaxation.

Results
DOS(E_F)	0.4121	states/eV per atom
E_form (uncorrected)	-706.2	meV/atom
space group	C2/m (12)

abc: 8.979 9.717 9.017
angles: 117.78 119.86 90.00
Fractional positions:
Te 0.763 0.286 0.525
Te 0.743 0.711 0.976
Te 0.257 0.289 0.024
Te 0.259 0.275 0.517
Te 0.767 0.289 0.024
Te 0.741 0.725 0.483
Te 0.237 0.714 0.475
Te 0.233 0.711 0.976
Th 0.000 0.500 0.500
Th 0.500 0.500 0.500
Th 0.500 0.500 0.000
Tl 0.000 0.000 0.000
Tl 0.500 0.000 0.500
Tl 0.500 0.000 0.000
Tl 0.000 0.000 0.500
Au 0.000 0.500 0.000